The following is a meta-GGA SCAN calculation of LiTcOs2 at its PBEsol-relaxed geometry, from Alexandria via LeMat-Bulk.

Geometry as CIF:
```
data_LiTcOs2
_chemical_formula_sum 'Li2 Tc2 Os4'
_cell_length_a 2.932
_cell_length_b 4.240
_cell_length_c 8.391
_cell_angle_alpha 90.00
_cell_angle_beta 90.00
_cell_angle_gamma 90.00
_symmetry_space_group_name_H-M 'I m m 2'
_symmetry_Int_Tables_number 44
_symmetry_space_group_name_Hall 'I 2 -2'
loop_
_atom_site_label
_atom_site_fract_x
_atom_site_fract_y
_atom_site_fract_z
_atom_site_occupancy
Li1 0.000 0.000 0.000 1
Tc1 0.000 0.500 0.256 1
Os1 0.000 0.000 0.501 1
Os2 0.000 0.500 0.742 1
```

## Properties
Formation enthalpy at 0 K   0.20 eV per atom
V   13.0 A^3/atom
DOS at the Fermi energy   0.652 states/eV per atom
Crystal system   orthorhombic

The following is a meta-GGA SCAN calculation of LiTcOs2 at its PBEsol-relaxed geometry, from Alexandria via LeMat-Bulk.

Geometry as CIF:
```
data_LiTcOs2
_chemical_formula_sum 'Li1 Tc1 Os2'
_cell_length_a 2.646
_cell_length_b 3.982
_cell_length_c 5.153
_cell_angle_alpha 90.00
_cell_angle_beta 104.13
_cell_angle_gamma 90.00
_symmetry_space_group_name_H-M 'P 1 2/m 1'
_symmetry_Int_Tables_number 10
_symmetry_space_group_name_Hall '-P 2y'
loop_
_atom_site_label
_atom_site_fract_x
_atom_site_fract_y
_atom_site_fract_z
_atom_site_occupancy
Li1 0.000 0.000 0.000 1
Tc1 0.000 0.000 0.500 1
Os1 0.410 0.500 0.234 1
```

## Properties
Formation enthalpy at 0 K   0.21 eV per atom
V   13.2 A^3/atom
DOS at the Fermi energy   0.749 states/eV per atom
Crystal system   monoclinic

The following is a meta-GGA SCAN calculation of LiTcOs at its PBEsol-relaxed geometry, from Alexandria via LeMat-Bulk.

Geometry as CIF:
```
data_LiTcOs
_chemical_formula_sum 'Li1 Tc1 Os1'
_cell_length_a 4.2117
_cell_length_b 4.2117
_cell_length_c 2.5760
_cell_angle_alpha 90.00
_cell_angle_beta 90.00
_cell_angle_gamma 120.00
_symmetry_space_group_name_H-M 'P 3 m 1'
_symmetry_Int_Tables_number 156
_symmetry_space_group_name_Hall 'P 3 -2"'
loop_
_atom_site_label
_atom_site_fract_x
_atom_site_fract_y
_atom_site_fract_z
_atom_site_occupancy
Li1 0.0000 0.0000 0.0000 1
Tc1 0.6667 0.3333 0.6421 1
Os1 0.3333 0.6667 0.3601 1
```

## Properties
Formation enthalpy at 0 K   0.08 eV per atom
V   13.2 A^3/atom
DOS at the Fermi energy   0.689 states/eV per atom
Crystal system   trigonal